#i
# AlAg2Hg

A geometry-optimized AlAg2Hg structure (PBE, Alexandria).

The structure in extended XYZ format:
```
4
Lattice="-1.4396 5.3254 -0.8685 -2.2402 1.3200 -4.9423 -0.4812 -3.1211 4.6059" Properties=species:S:1:pos:R:3 pbc="T T T"
Ag -1.8242 2.6620 0.5048
Ag -3.6622 6.6135 -5.7829
Hg -2.3287 0.8475 -1.6968
Al -1.8657 3.3693 -2.9462
```

Summary:
M_tot ... 0.0 μB/f.u.
Symmetry ... Imm2, No. 44


#ii
# AlAg2Hg

A geometry-optimized AlAg2Hg structure (PBE, Alexandria).

The structure in extended XYZ format:
```
4
Lattice="5.0840 -0.0049 0.0429 4.1385 2.9530 0.0429 1.2028 0.3845 4.9919" Properties=species:S:1:pos:R:3 pbc="T T T"
Al 7.8190 2.4994 3.8083
Ag 5.0953 1.6288 2.6303
Ag 1.3202 0.4220 4.9005
Hg 2.6063 0.8331 1.2694
```

Summary:
M_tot ... 0.0 μB/f.u.
Symmetry ... C2/m, No. 12


#iii
# AlAg2Hg

A geometry-optimized AlAg2Hg structure (PBE, Alexandria).

The structure in extended XYZ format:
```
4
Lattice="-4.6604 -4.8381 6.4150 -2.2612 -6.7564 5.9595 -1.9958 -4.3819 7.9432" Properties=species:S:1:pos:R:3 pbc="T T T"
Hg -6.7141 -12.0290 15.2977
Ag -2.1939 -3.9306 4.9987
Ag -8.8938 -15.9341 20.2639
Al -4.4916 -8.0472 10.2339
```

Summary:
M_tot ... 0.0 μB/f.u.
Symmetry ... R3m, No. 160


#iv
# AlAg2Hg

A geometry-optimized AlAg2Hg structure (PBE, Alexandria).

The structure in extended XYZ format:
```
4
Lattice="-2.7879 -0.3510 -6.0121 2.5947 -4.0397 2.0155 -2.4033 -1.6673 -0.1478" Properties=species:S:1:pos:R:3 pbc="T T T"
Ag -2.5956 -1.0091 -3.0799
Ag 0.0000 0.0000 0.0000
Hg -0.0966 -2.1953 -1.9983
Al 0.0957 -2.8535 0.9338
```

Summary:
M_tot ... 0.0 μB/f.u.
Symmetry ... C2/m, No. 12


What is the stability order? It is #ii, #iii, #i, #iv, from most stable to least stable.